This record from the Alexandria database describes crystalline Ba2MnF6 at its relaxed geometry. The functional is PBE+U.

## Properties
The symmetry is Immm (71). Its density of states at the Fermi level is 0.0 states/eV/cell. Its total energy is -0.2166 hartree per atom.

a b c (Å): 4.3001 5.9714 7.1630
angles (deg): 114.63 107.43 90.00
Last column: magnetic moment on the atom in μB.
Fractional coordinates of all 9 atoms:
Ba  0.6616  0.6620  0.3239  0.00
Ba  0.3384  0.3380  0.6761  0.00
Mn  0.0000  0.0000  0.0000  4.71
F  0.1460  0.3766  0.2927  0.01
F  0.8540  0.0839  0.7073  0.01
F  0.8540  0.6234  0.7073  0.01
F  0.5000  0.2177  0.0000  0.02
F  0.1460  0.9161  0.2927  0.01
F  0.5000  0.7823  0.0000  0.02